Entry 1:
PBE Na3Np2NbS6, optimized geometry; space group = C2/m, No. 12; calculated density = 5.26 g cm⁻³; raw formation energy = -1.241 eV/atom; DOS(E_F) = 21.52 states/eV per cell
1.0
6.691 -0.002 -0.002
-3.346 5.795 -0.002
-1.117 -1.934 6.749
S Np Na Nb
6 2 3 1
Direct
0.075 0.392 0.226
0.242 0.242 0.776
0.758 0.758 0.224
0.392 0.075 0.226
0.608 0.925 0.774
0.925 0.608 0.774
0.667 0.333 0.000
0.333 0.667 0.000
0.832 0.168 0.500
0.500 0.500 0.500
0.168 0.832 0.500
0.000 0.000 0.000

Entry 2:
PBE Na3Np3NbS8, optimized geometry; space group = C2/m, No. 12; calculated density = 5.27 g cm⁻³; raw formation energy = -1.282 eV/atom; DOS(E_F) = 29.83 states/eV per cell
1.0
7.766 0.000 0.000
-3.883 6.725 -0.025
0.000 -4.457 6.826
Np Na S Nb
3 3 8 1
Direct
0.500 0.000 0.500
0.500 0.500 0.500
0.000 0.500 0.500
0.500 0.500 0.000
0.000 0.000 0.000
0.000 0.500 0.000
0.757 0.987 0.716
0.230 0.460 0.716
0.770 0.013 0.284
0.243 0.013 0.284
0.744 0.487 0.731
0.770 0.540 0.284
0.256 0.513 0.269
0.230 0.987 0.716
0.000 0.000 0.500

Entry 3:
PBE NaNb3O4, optimized geometry; space group = Cmmm, No. 65; calculated density = 5.82 g cm⁻³; raw formation energy = -1.712 eV/atom; DOS(E_F) = 3.23 states/eV per cell
1.0
3.033 0.000 0.000
0.000 5.114 -2.561
0.000 0.135 6.657
O Nb Na
4 3 1
Direct
0.000 0.638 0.763
0.000 0.362 0.237
0.000 0.875 0.237
0.000 0.125 0.763
0.000 0.248 0.496
0.000 0.752 0.504
0.000 0.500 0.000
0.500 0.000 0.000

Entry 4:
PBE NaNb6O16, optimized geometry; space group = Amm2, No. 38; calculated density = 4.48 g cm⁻³; raw formation energy = -2.415 eV/atom; DOS(E_F) = 9.76 states/eV per cell
1.0
9.171 0.024 0.000
-3.135 8.618 0.000
0.000 0.000 3.921
Nb O Na
6 16 1
Direct
0.378 0.261 0.000
0.997 0.003 0.000
0.627 0.002 0.000
0.211 0.789 0.000
0.998 0.373 0.000
0.739 0.622 0.000
0.517 0.483 0.000
0.445 0.822 0.000
0.835 0.467 0.000
0.763 0.853 0.000
0.859 0.141 0.000
0.226 0.774 0.500
0.001 0.999 0.500
0.640 0.007 0.500
0.147 0.237 0.000
0.988 0.766 0.000
0.993 0.360 0.500
0.234 0.012 0.000
0.365 0.288 0.500
0.533 0.165 0.000
0.712 0.635 0.500
0.178 0.555 0.000
0.400 0.600 0.500

Entry 5:
PBE Na8NbO6, optimized geometry; space group = P6_3cm, No. 185; calculated density = 2.53 g cm⁻³; raw formation energy = -1.579 eV/atom; excess energy over the best structure of this formula in the dataset = 0.00 eV/f.u.; DOS(E_F) = 2.83 states/eV per cell
1.0
-0.828 3.677 -5.305
-5.091 -1.435 3.790
2.304 10.984 7.255
Na O Nb
16 12 2
Direct
0.696 0.696 0.271
0.000 0.696 0.771
0.399 0.399 0.128
0.333 0.667 0.909
0.601 0.000 0.128
0.696 0.000 0.771
0.000 0.601 0.128
0.667 0.333 0.909
0.000 0.399 0.628
0.667 0.333 0.409
0.399 0.000 0.628
0.000 0.304 0.271
0.304 0.304 0.771
0.601 0.601 0.628
0.304 0.000 0.271
0.333 0.667 0.409
0.282 0.000 0.453
0.000 0.000 0.132
0.667 0.333 0.724
0.667 0.333 0.224
0.282 0.282 0.953
0.718 0.718 0.453
0.333 0.667 0.724
0.333 0.667 0.224
0.718 0.000 0.953
0.000 0.718 0.953
0.000 0.282 0.453
0.000 0.000 0.632
0.000 0.000 0.489
0.000 0.000 0.989

Entry 6:
PBE NaNb2O5, optimized geometry; space group = Immm, No. 71; calculated density = 5.16 g cm⁻³; raw formation energy = -2.318 eV/atom; excess energy over the best structure of this formula in the dataset = 0.67 eV/f.u.; DOS(E_F) = 3.37 states/eV per cell
1.0
-0.356 -3.197 0.230
-0.834 -1.098 6.063
-5.313 -0.810 3.127
O Nb Na
5 2 1
Direct
0.000 0.500 0.500
0.339 0.919 0.403
0.661 0.597 0.081
0.339 0.403 0.919
0.661 0.081 0.597
0.818 0.682 0.682
0.182 0.318 0.318
0.000 0.000 0.000

Entry 7:
PBE NaNb2O4, optimized geometry; space group = R3m, No. 160; calculated density = 4.98 g cm⁻³; raw formation energy = -2.154 eV/atom; excess energy over the best structure of this formula in the dataset = 1.03 eV/f.u.; DOS(E_F) = 2.20 states/eV per cell
1.0
6.026 -0.095 -2.391
-0.875 5.688 -2.421
-0.822 -0.946 6.115
O Nb Na
8 4 2
Direct
0.395 0.611 0.783
0.368 0.123 0.246
0.887 0.153 0.306
0.394 0.171 0.783
0.394 0.612 0.223
0.888 0.581 0.734
0.800 0.600 0.200
0.887 0.153 0.734
0.629 0.914 0.271
0.629 0.358 0.271
0.162 0.387 0.774
0.629 0.358 0.715
0.210 0.737 0.474
0.978 0.992 0.985

Entry 8:
PBE NaNb2O4, optimized geometry; space group = P-3m1, No. 164; calculated density = 5.13 g cm⁻³; raw formation energy = -2.197 eV/atom; excess energy over the best structure of this formula in the dataset = 0.73 eV/f.u.; DOS(E_F) = 3.09 states/eV per cell
1.0
-2.960 -0.074 0.535
1.930 -1.004 2.079
0.552 10.321 4.475
O Nb Na
4 2 1
Direct
0.667 0.333 0.357
0.333 0.667 0.643
0.667 0.333 0.137
0.333 0.667 0.863
0.667 0.333 0.761
0.333 0.667 0.239
0.000 0.000 0.500

Q: The lowest DOS(E_F) belongs to which entry?
A: number 7

Q: What is the calculated density in the second record?
A: 5.27 g cm⁻³